1.
A plane-wave DFT calculation with PBE was carried out for an optimized crystal structure of Ba2ZnBrCl.

a = 6.1760 Å, b = 6.1760 Å, c = 6.4331 Å
α = 90.00°, β = 90.00°, γ = 90.00°
Last column: nearest neighbours and their distance in Å.
Fractional coordinates of all 5 atoms:
Ba 0.0000 0.5000 0.0000  2 Br 3.09
Ba 0.5000 0.0000 0.0000  2 Br 3.09
Zn 0.0000 0.0000 0.5000  4 Cl 4.37, 8 Ba 4.46
Br 0.5000 0.5000 0.0000  4 Ba 3.09, 2 Cl 3.22
Cl 0.5000 0.5000 0.5000  2 Br 3.22

Calculated values
**Energy relative to the elements, uncorrected**: -719.4 meV/atom
**V**: 49.08 Å³/atom
**Symmetry**: P4/mmm (123)
**Total magnetic moment**: 0.0000 μB per atom

2.
A plane-wave DFT calculation with PBE was carried out for an optimized crystal structure of CuTcCl2.

a = 10.6252 Å, b = 10.6252 Å, c = 10.6252 Å
α = 16.87°, β = 16.87°, γ = 16.87°
Last column: nearest neighbours and their distance in Å.
Fractional coordinates of all 4 atoms:
Cu 0.0000 0.0000 0.0000  6 Cu 3.12
Tc 0.5000 0.5000 0.5000  6 Cl 2.44
Cl 0.2191 0.2191 0.2191  3 Tc 2.44
Cl 0.7809 0.7809 0.7809  3 Tc 2.44

Calculated values
**E above lowest polymorph**: 318 meV/atom
**Energy relative to the elements, uncorrected**: 313.5 meV/atom
**V**: 22.02 Å³/atom
**Symmetry**: R-3m (166)
**Total magnetic moment**: 0.0000 μB per atom

3.
A plane-wave DFT calculation with PBE was carried out for an optimized crystal structure of Zn2NiMo.

a = 4.2784 Å, b = 4.2784 Å, c = 4.2784 Å
α = 60.00°, β = 60.00°, γ = 60.00°
Last column: nearest neighbours and their distance in Å.
Fractional coordinates of all 4 atoms:
Zn 0.2500 0.2500 0.2500  4 Mo 2.62, 4 Ni 2.62
Zn 0.7500 0.7500 0.7500  4 Mo 2.62, 4 Ni 2.62
Ni 0.0000 0.0000 0.0000  8 Zn 2.62
Mo 0.5000 0.5000 0.5000  8 Zn 2.62

Calculated values
**E above lowest polymorph**: 261 meV/atom
**Energy relative to the elements**: 205 meV/atom
**V**: 13.84 Å³/atom
**Symmetry**: Fm-3m (225)
**Total magnetic moment**: 0.4852 μB per atom

4.
A plane-wave DFT calculation with PBE was carried out for an optimized crystal structure of Cs4NpO4.

a = 7.5749 Å, b = 7.5749 Å, c = 7.5749 Å
α = 127.40°, β = 127.40°, γ = 77.59°
Last column: nearest neighbours and their distance in Å.
Fractional coordinates of all 9 atoms:
Cs 0.1586 0.1586 0.6155  2 O 2.92-3.22
Cs 0.4568 0.8414 0.0000  2 O 2.92-3.22
Cs 0.5432 0.5432 0.3845  2 O 2.92-3.22
Cs 0.8414 0.4568 0.0000  2 O 2.92-3.22
Np 0.0000 0.0000 0.0000  4 O 2.10
O 0.0759 0.7172 0.0000  1 Np 2.10
O 0.2828 0.2828 0.3587  1 Np 2.10
O 0.7172 0.0759 0.0000  1 Np 2.10
O 0.9241 0.9241 0.6413  1 Np 2.10

Calculated values
**E above lowest polymorph**: 19 meV/atom
**Energy relative to the elements, uncorrected**: -1684.5 meV/atom
**V**: 29.55 Å³/atom
**Symmetry**: I-42m (121)
**Total magnetic moment**: 0.3333 μB per atom